VSiHg2 | PBE | optimized geometry

```
VSiHg2
1.0
0.000 3.394 3.394
3.394 0.000 3.394
3.394 3.394 0.000
V Si Hg
1 1 2
direct
0.000 0.000 0.000
0.500 0.500 0.500
0.250 0.250 0.250
0.750 0.750 0.750
```

Formation energy without anion corrections, eV/atom: 0.59
Calculated total energy, eV per cell: -12.776


VSiHg3 | PBE | optimized geometry

```
VSiHg3
1.0
5.251 0.000 0.000
0.000 5.251 0.000
0.000 0.000 5.251
V Si Hg
1 1 3
direct
0.000 0.000 0.000
0.500 0.500 0.500
0.000 0.000 0.500
0.000 0.500 0.000
0.500 0.000 0.000
```

Formation energy without anion corrections, eV/atom: 1.01
Calculated total energy, eV per cell: -10.404


VSiHg3 | PBE | optimized geometry

```
VSiHg3
1.0
5.052 0.000 0.000
0.000 5.052 0.000
0.000 0.000 5.052
V Si Hg
1 1 3
direct
0.000 0.000 0.000
0.500 0.500 0.500
0.000 0.500 0.500
0.500 0.000 0.500
0.500 0.500 0.000
```

Formation energy without anion corrections, eV/atom: 0.87
Calculated total energy, eV per cell: -11.122


What is the formation energy without anion corrections in the third record? 0.87 eV/atom


Look up the formation energy without anion corrections of the second one. 1.01 eV/atom


The highest formation energy without anion corrections belongs to which entry? number 2


calculated total energy of number 3 (VSiHg3)? -11.122 eV per cell